Below is a relaxed Li3Hg5Sb crystal, with properties calculated at the GGA-PBE level.

Structure (extended XYZ):
```
18
Lattice="8.440 0.000 0.000 -4.220 7.309 0.000 0.000 0.000 6.416" Properties=species:S:1:pos:R:3 pbc="T T T"
Li -1.364 2.363 1.604
Li -2.856 4.947 4.812
Li 2.728 0.000 1.604
Li 1.364 2.363 4.812
Li 5.712 0.000 4.812
Li 2.856 4.947 1.604
Hg -1.454 2.518 4.812
Hg -2.766 4.791 1.604
Hg 0.000 4.873 0.000
Hg 0.000 4.873 3.208
Hg 2.908 0.000 4.812
Hg 1.454 2.518 1.604
Hg 5.532 0.000 1.604
Hg 2.766 4.791 4.812
Hg 4.220 2.436 0.000
Hg 4.220 2.436 3.208
Sb 0.000 0.000 0.000
Sb 0.000 0.000 3.208
```

Summary:
Volume ... 395.81 Å³ per cell
Total moment ... 0.00 μB per formula unit
Formation energy from raw total energies ... -0.240 eV per atom